Record 1
Here is a geometry-optimized Li7MgZn5 structure from Alexandria. Energies are from PBE.

Lattice parameters (Å, degrees): 5.164 6.990 6.990 81.77 68.32 68.32
Fractional coordinates of all 13 atoms:
Li 0.672 0.328 0.328
Li 0.354 0.646 0.646
Li 0.992 0.353 0.662
Zn 0.997 0.510 0.001
Mg 0.019 0.981 0.981
Zn 0.491 0.001 0.510
Li 0.992 0.662 0.353
Li 0.498 0.802 0.203
Zn 0.491 0.510 0.001
Zn 0.716 0.784 0.784
Li 0.498 0.203 0.802
Zn 0.997 0.001 0.510
Li 0.282 0.218 0.218

- DFT formation energy (eV/atom) = -0.132
- ρ (g cm⁻³) = 3.048

***

Record 2
Here is a geometry-optimized CdSbTe2Mo structure from Alexandria. Energies are from PBE.

Lattice parameters (Å, degrees): 5.224 5.443 5.224 90.00 90.00 90.00
Fractional coordinates of all 5 atoms:
Sb 0.500 0.500 0.500
Te 0.000 0.000 0.500
Cd 0.000 0.500 0.000
Te 0.500 0.000 0.000
Mo 0.000 0.000 0.000

- uncorrected formation energy (eV per formula unit) = 3.1
- ρ (g cm⁻³) = 6.542
- polymorph energy (0 for the lowest one) (eV/f.u.) = 0.99

***

Record 3
Here is a geometry-optimized CuAuCl2 structure from Alexandria. Energies are from PBE.

Lattice parameters (Å, degrees): 3.795 3.795 8.392 90.00 90.00 125.59
Fractional coordinates of all 4 atoms:
Au 0.500 0.500 0.723
Cl 0.000 0.000 0.928
Cl 0.500 0.500 0.342
Cu 0.000 0.000 0.507

- uncorrected formation energy (eV per formula unit) = -0.7
- ρ (g cm⁻³) = 5.599
- polymorph energy (0 for the lowest one) (eV/f.u.) = 0.21

***

Record 4
Here is a geometry-optimized TlBi2Mo structure from Alexandria. Energies are from PBE.

Lattice parameters (Å, degrees): 6.827 6.827 8.326 65.80 65.80 90.00
Fractional coordinates of all 8 atoms:
Bi 0.551 0.125 0.250
Tl 0.000 0.000 0.000
Bi 0.199 0.625 0.250
Mo 0.500 0.500 0.000
Bi 0.375 0.449 0.750
Bi 0.875 0.801 0.750
Mo 0.250 0.750 0.500
Tl 0.750 0.250 0.500

- DFT formation energy (eV/atom) = 0.744
- ρ (g cm⁻³) = 7.546
- polymorph energy (0 for the lowest one) (eV/f.u.) = 0.28

***

Record 5
Here is a geometry-optimized CeTaTl2O6 structure from Alexandria. Energies are from PBE.

Lattice parameters (Å, degrees): 6.028 6.028 6.028 60.00 60.00 60.00
Fractional coordinates of all 10 atoms:
Ta 0.000 0.000 0.000
O 0.235 0.765 0.765
O 0.765 0.235 0.765
Tl 0.250 0.250 0.250
Tl 0.750 0.750 0.750
O 0.765 0.235 0.235
O 0.765 0.765 0.235
O 0.235 0.235 0.765
O 0.235 0.765 0.235
Ce 0.500 0.500 0.500

- uncorrected formation energy (eV per formula unit) = -21.7
- ρ (g cm⁻³) = 8.854

***

Record 6
Here is a geometry-optimized Ac2LaPaP4 structure from Alexandria. Energies are from PBE.

Lattice parameters (Å, degrees): 4.251 7.371 7.416 109.23 90.00 90.00
Fractional coordinates of all 8 atoms:
Ac 0.000 0.500 0.500
Ac 0.500 0.000 0.500
Pa 0.500 0.500 0.000
La 0.000 0.000 0.000
P 0.500 0.741 0.772
P 0.500 0.259 0.228
P 0.000 0.728 0.221
P 0.000 0.272 0.779

- DFT formation energy (eV/atom) = -1.424
- ρ (g cm⁻³) = 7.173

***

Record 7
Here is a geometry-optimized Pm8CdRh2 structure from Alexandria. Energies are from PBE.

Lattice parameters (Å, degrees): 5.657 8.171 8.171 115.67 97.79 97.79
Fractional coordinates of all 11 atoms:
Rh 0.000 0.706 0.294
Pm 0.693 0.394 0.394
Pm 0.066 0.081 0.332
Rh 0.000 0.294 0.706
Cd 0.500 0.000 0.000
Pm 0.500 0.246 0.754
Pm 0.934 0.668 0.919
Pm 0.934 0.919 0.668
Pm 0.500 0.754 0.246
Pm 0.307 0.606 0.606
Pm 0.066 0.332 0.081

- DFT formation energy (eV/atom) = -0.270
- ρ (g cm⁻³) = 7.455

***

Record 8
Here is a geometry-optimized CaTlCu2 structure from Alexandria. Energies are from PBE.

Lattice parameters (Å, degrees): 4.743 4.743 9.761 75.94 75.94 90.00
Fractional coordinates of all 8 atoms:
Ca 0.500 0.500 0.000
Cu 0.375 0.125 0.750
Tl 0.750 0.250 0.500
Ca 0.250 0.750 0.500
Cu 0.875 0.625 0.250
Cu 0.875 0.125 0.750
Tl 0.000 0.000 0.000
Cu 0.875 0.125 0.250

- DFT formation energy (eV/atom) = 0.156
- ρ (g cm⁻³) = 5.983

***

Record 9
Here is a geometry-optimized TcPBr2 structure from Alexandria. Energies are from PBE.

Lattice parameters (Å, degrees): 6.716 6.716 6.716 151.99 136.51 52.52
Fractional coordinates of all 4 atoms:
Br 0.773 0.273 0.500
Tc 0.260 0.760 0.500
P 0.390 0.390 0.000
Br 0.077 0.077 0.000

- uncorrected formation energy (eV per formula unit) = 1.2
- ρ (g cm⁻³) = 4.924
- polymorph energy (0 for the lowest one) (eV/f.u.) = 1.87

***

Record 10
Here is a geometry-optimized UZnSnIr structure from Alexandria. Energies are from PBE.

Lattice parameters (Å, degrees): 4.790 4.790 4.790 60.00 60.00 60.00
Fractional coordinates of all 4 atoms:
Sn 0.250 0.250 0.250
U 0.750 0.750 0.750
Zn 0.000 0.000 0.000
Ir 0.500 0.500 0.500

- DFT formation energy (eV/atom) = -0.160
- ρ (g cm⁻³) = 13.129

***

Record 11
Here is a geometry-optimized AcPt3Au4O12 structure from Alexandria. Energies are from PBE.

Lattice parameters (Å, degrees): 7.052 7.052 7.052 106.74 106.74 106.74
Fractional coordinates of all 20 atoms:
O 0.329 0.987 0.278
Au 0.863 0.137 0.500
O 0.278 0.329 0.987
Ac 0.000 0.000 0.000
O 0.671 0.722 0.013
Au 0.500 0.500 0.500
Au 0.137 0.500 0.863
O 0.500 0.089 0.911
O 0.315 0.685 0.500
O 0.722 0.013 0.671
O 0.987 0.278 0.329
Pt 0.587 0.413 0.000
Au 0.500 0.863 0.137
Pt 0.413 0.000 0.587
Pt 0.000 0.587 0.413
O 0.500 0.315 0.685
O 0.013 0.671 0.722
O 0.089 0.911 0.500
O 0.911 0.500 0.089
O 0.685 0.500 0.315

- uncorrected formation energy (eV per formula unit) = -10.6
- ρ (g cm⁻³) = 10.120

***

Record 12
Here is a geometry-optimized TbCePb6 structure from Alexandria. Energies are from PBE.

Lattice parameters (Å, degrees): 4.908 4.908 9.774 90.00 90.00 90.00
Fractional coordinates of all 8 atoms:
Pb 0.000 0.500 0.252
Pb 0.000 0.500 0.748
Pb 0.500 0.000 0.252
Tb 0.000 0.000 0.500
Pb 0.500 0.500 0.000
Ce 0.000 0.000 0.000
Pb 0.500 0.500 0.500
Pb 0.500 0.000 0.748

- DFT formation energy (eV/atom) = -0.321
- ρ (g cm⁻³) = 10.879

***

Record 13
Here is a geometry-optimized CoHg2Pb structure from Alexandria. Energies are from PBE.

Lattice parameters (Å, degrees): 9.756 9.756 9.756 19.54 19.54 19.54
Fractional coordinates of all 4 atoms:
Hg 0.015 0.015 0.015
Hg 0.253 0.253 0.253
Co 0.749 0.749 0.749
Pb 0.484 0.484 0.484

- DFT formation energy (eV/atom) = 0.357
- ρ (g cm⁻³) = 12.198

***

Record 14
Here is a geometry-optimized Rb3AlSe3 structure from Alexandria. Energies are from PBE.

Lattice parameters (Å, degrees): 8.358 9.409 13.349 98.40 90.00 90.00
Fractional coordinates of all 28 atoms:
Se 0.567 0.649 0.849
Rb 0.772 0.606 0.078
Rb 0.656 0.919 0.370
Rb 0.156 0.081 0.130
Se 0.155 0.758 0.976
Rb 0.728 0.606 0.578
Se 0.933 0.649 0.349
Rb 0.844 0.919 0.870
Se 0.940 0.930 0.613
Se 0.440 0.070 0.887
Al 0.424 0.835 0.953
Al 0.924 0.165 0.547
Rb 0.779 0.315 0.290
Se 0.345 0.758 0.476
Rb 0.279 0.685 0.210
Rb 0.272 0.394 0.422
Se 0.433 0.351 0.151
Rb 0.221 0.685 0.710
Se 0.067 0.351 0.651
Se 0.060 0.070 0.387
Se 0.655 0.242 0.524
Se 0.560 0.930 0.113
Al 0.076 0.835 0.453
Se 0.845 0.242 0.024
Rb 0.228 0.394 0.922
Rb 0.721 0.315 0.790
Rb 0.344 0.081 0.630
Al 0.576 0.165 0.047

- uncorrected formation energy (eV per formula unit) = -8.3
- ρ (g cm⁻³) = 3.328

***

Record 15
Here is a geometry-optimized TbSmSiPd structure from Alexandria. Energies are from PBE.

Lattice parameters (Å, degrees): 5.047 5.047 5.047 60.00 60.00 60.00
Fractional coordinates of all 4 atoms:
Tb 0.500 0.500 0.500
Si 0.250 0.250 0.250
Pd 0.750 0.750 0.750
Sm 0.000 0.000 0.000

- uncorrected formation energy (eV per formula unit) = -2.7
- ρ (g cm⁻³) = 8.109
- polymorph energy (0 for the lowest one) (eV/f.u.) = 0.50

***

Record 16
Here is a geometry-optimized La2ReRu structure from Alexandria. Energies are from PBE.

Lattice parameters (Å, degrees): 4.922 4.922 4.922 60.00 60.00 60.00
Fractional coordinates of all 4 atoms:
La 0.000 0.000 0.000
La 0.250 0.250 0.250
Re 0.500 0.500 0.500
Ru 0.750 0.750 0.750

- DFT formation energy (eV/atom) = 0.437
- ρ (g cm⁻³) = 11.130
- polymorph energy (0 for the lowest one) (eV/f.u.) = 1.69

***

Record 17
Here is a geometry-optimized NaLi2Sn4 structure from Alexandria. Energies are from PBE.

Lattice parameters (Å, degrees): 6.029 6.120 6.122 72.02 60.47 60.46
Fractional coordinates of all 7 atoms:
Li 0.249 0.500 0.500
Sn 0.701 0.006 0.592
Sn 0.299 0.408 0.994
Sn 0.299 0.994 0.408
Li 0.751 0.500 0.500
Na 0.000 0.000 0.000
Sn 0.701 0.592 0.006

- DFT formation energy (eV/atom) = -0.223
- ρ (g cm⁻³) = 4.988

***

Record 18
Here is a geometry-optimized TiTcP structure from Alexandria. Energies are from PBE.

Lattice parameters (Å, degrees): 3.251 6.603 11.752 90.00 90.00 90.00
Fractional coordinates of all 18 atoms:
Tc 0.500 0.447 0.380
Tc 0.500 0.553 0.880
Ti 0.000 0.818 0.750
P 0.500 0.078 0.097
Ti 0.000 0.781 0.456
Tc 0.500 0.447 0.120
P 0.500 0.922 0.597
Ti 0.000 0.219 0.956
P 0.000 0.430 0.750
Ti 0.000 0.219 0.544
Tc 0.500 0.167 0.750
Tc 0.500 0.553 0.620
Ti 0.000 0.781 0.044
P 0.500 0.078 0.403
P 0.500 0.922 0.903
Tc 0.500 0.833 0.250
Ti 0.000 0.182 0.250
P 0.000 0.570 0.250

- DFT formation energy (eV/atom) = -0.881
- ρ (g cm⁻³) = 6.984
- polymorph energy (0 for the lowest one) (eV/f.u.) = 0.37

***

Record 19
Here is a geometry-optimized Dy2CuPt9 structure from Alexandria. Energies are from PBE.

Lattice parameters (Å, degrees): 4.082 4.082 12.011 90.00 90.00 90.00
Fractional coordinates of all 12 atoms:
Cu 0.000 0.000 0.000
Pt 0.500 0.000 0.500
Pt 0.500 0.500 0.000
Pt 0.500 0.500 0.674
Pt 0.500 0.000 0.848
Pt 0.000 0.500 0.500
Dy 0.000 0.000 0.674
Dy 0.000 0.000 0.326
Pt 0.000 0.500 0.848
Pt 0.500 0.500 0.326
Pt 0.500 0.000 0.152
Pt 0.000 0.500 0.152

- DFT formation energy (eV/atom) = -0.700
- ρ (g cm⁻³) = 17.790

***

Record 20
Here is a geometry-optimized Ir2Ru4Rh3 structure from Alexandria. Energies are from PBE.

Lattice parameters (Å, degrees): 3.833 6.073 6.079 72.46 71.60 90.00
Fractional coordinates of all 9 atoms:
Rh 0.554 0.331 0.893
Ru 0.114 0.668 0.773
Rh 0.446 0.669 0.107
Ru 0.330 0.001 0.340
Ru 0.670 0.999 0.660
Ir 0.775 0.667 0.450
Ir 0.225 0.333 0.550
Ru 0.886 0.332 0.227
Rh 0.000 0.000 0.000

- DFT formation energy (eV/atom) = 0.006
- ρ (g cm⁻³) = 14.315
- polymorph energy (0 for the lowest one) (eV/f.u.) = 0.00